1.
La2ScZn3Pt4 after structural relaxation, computed with GGA-PBE.

Cell: 4.1847 4.1847 11.5469 Å, 90.00 90.00 90.00°
Space group P-4m2 (No. 115)
Inequivalent atoms, fractional coordinates:
La (0.0000, 0.5000, 0.2335)
Sc (0.0000, 0.0000, 0.5000)
Zn (0.0000, 0.5000, 0.8723)
Zn (0.5000, 0.5000, 0.5000)
Pt (0.0000, 0.0000, 0.0000)
Pt (0.0000, 0.5000, 0.6499)
Pt (0.5000, 0.5000, 0.0000)

Properties
Total magnetic moment = 0.00 μB/cell
ρ = 10.670 g/cm3
Fermi-level density of states = 0.4208 states/eV per atom

2.
Rb6Na2HgH after structural relaxation, computed with GGA-PBE.

Cell: 13.2289 13.2687 9.3579 Å, 90.00 134.85 90.00°
Space group C2/m (No. 12)
Inequivalent atoms, fractional coordinates:
Rb (0.0000, 0.2312, 0.0000)
Rb (0.2313, 0.0000, 0.0010)
Rb (0.2309, 0.0000, 0.4621)
Na (0.0000, 0.2505, 0.5000)
Hg (0.0000, 0.5000, 0.0000)
H (0.0000, 0.0000, 0.0000)

Properties
Total magnetic moment = 0.00 μB/cell
ρ = 2.168 g/cm3
Fermi-level density of states = 1.0393 states/eV per atom

Number 1: calculated total energy -52.95 eV/f.u.. Number 2: calculated total energy -12.14 eV/f.u..